Record 1
Here is a relaxed La2Tb3Pm5 crystal from Alexandria. Energies are from GGA-PBE.

```
data_La2Tb3Pm5
_symmetry_space_group_name_H-M 'C 1 2/c 1'
_symmetry_Int_Tables_number 15
_cell_length_a 11.0193
_cell_length_b 16.0964
_cell_length_c 9.5823
_cell_angle_alpha 90.00
_cell_angle_beta 125.02
_cell_angle_gamma 90.00
loop_
_symmetry_equiv_pos_as_xyz
'x,y,z'
'-x,-y,-z'
'-x,y,-z+1/2'
'x,-y,z+1/2'
'x+1/2,y+1/2,z'
'-x+1/2,-y+1/2,-z'
'-x+1/2,y+1/2,-z+1/2'
'x+1/2,-y+1/2,z+1/2'
loop_
_atom_site_label
_atom_site_fract_x
_atom_site_fract_y
_atom_site_fract_z
_atom_site_occupancy
La1 0.1444 0.1250 0.0523 1
Tb1 0.0000 0.0231 0.2500 1
Tb2 0.1556 0.3786 0.5433 1
Pm1 0.0000 0.2285 0.2500 1
Pm2 0.0000 0.2715 0.7500 1
Pm3 0.0000 0.4686 0.7500 1
Pm4 0.2333 0.3820 0.2231 1
```

Results
The formation energy comes out at 0.1810 eV/atom. Its density of states at the Fermi level is 68.96 states/eV/cell.

=====

Record 2
Here is a relaxed Re2SbAu crystal from Alexandria. Energies are from GGA-PBE.

```
data_Re2SbAu
_symmetry_space_group_name_H-M 'C m m 2'
_symmetry_Int_Tables_number 35
_cell_length_a 2.9633
_cell_length_b 4.9433
_cell_length_c 10.1106
_cell_angle_alpha 90.00
_cell_angle_beta 90.00
_cell_angle_gamma 90.00
loop_
_symmetry_equiv_pos_as_xyz
'x,y,z'
'-x,-y,z'
'-x,y,z'
'x,-y,z'
'x+1/2,y+1/2,z'
'-x+1/2,-y+1/2,z'
'-x+1/2,y+1/2,z'
'x+1/2,-y+1/2,z'
loop_
_atom_site_label
_atom_site_fract_x
_atom_site_fract_y
_atom_site_fract_z
_atom_site_occupancy
Re1 0.0000 0.0000 0.0000 1
Re2 0.0000 0.5000 0.2057 1
Sb1 0.0000 0.5000 0.7446 1
Au1 0.0000 0.0000 0.4522 1
```

Results
Its density of states at the Fermi level is 6.54 states/eV/cell.

=====

Record 3
Here is a relaxed Th5Zn12Tc3 crystal from Alexandria. Energies are from GGA-PBE.

```
data_Th5Zn12Tc3
_symmetry_space_group_name_H-M 'I a -3 d'
_symmetry_Int_Tables_number 230
_symmetry_space_group_name_Hall '-I 4bd 2c 3'
_cell_length_a 15.7964
_cell_length_b 15.7964
_cell_length_c 15.7964
_cell_angle_alpha 90.00
_cell_angle_beta 90.00
_cell_angle_gamma 90.00
loop_
_atom_site_label
_atom_site_fract_x
_atom_site_fract_y
_atom_site_fract_z
_atom_site_occupancy
Th1 0.0000 0.0000 0.0000 1
Th2 0.0000 0.2500 0.3750 1
Zn1 0.0018 0.0910 0.1544 1
Tc1 0.0000 0.2500 0.1250 1
```

Results
The formation energy comes out at 0.6707 eV/atom. Its density of states at the Fermi level is 143.10 states/eV/cell.

=====

| no. | electronic total energy (eV/cell) |
| --- | --- |
| 1 | -182.75 |
| 2 | -59.75 |
| 3 | -560.56 |